# CsCd2ReOs | the Alexandria database | GGA-PBE | optimized geometry
data_CsCd2ReOs
_space_group_name_H-M_alt 'P 1'
_space_group_IT_number 1
_space_group_name_Hall 'P 1'
_cell_length_a 5.3222
_cell_length_b 5.6243
_cell_length_c 5.3222
_cell_angle_alpha 90.00
_cell_angle_beta 90.00
_cell_angle_gamma 90.00
loop_
_atom_site_label
_atom_site_type_symbol
_atom_site_fract_x
_atom_site_fract_y
_atom_site_fract_z
Os1 Os 0.0000 0.0000 0.0000
Cs1 Cs 0.0000 0.5000 0.0000
Re1 Re 0.5000 0.5000 0.5000
Cd1 Cd 0.0000 0.0000 0.5000
Cd2 Cd 0.5000 0.0000 0.0000
# - formation energy from the elements (eV per atom) = 2.0893
# - space group = P4/mmm